Crystalline AlTl2Cu at its relaxed geometry, computed with PBE.

Cell and atoms, written as CIF:
```
data_AlTl2Cu
_space_group_name_H-M_alt 'I m m 2'
_space_group_IT_number 44
_cell_length_a 3.147
_cell_length_b 4.956
_cell_length_c 11.702
_cell_angle_alpha 90.00
_cell_angle_beta 90.00
_cell_angle_gamma 90.00
loop_
_space_group_symop_operation_xyz
'x,y,z'
'-x,-y,z'
'-x,y,z'
'x,-y,z'
'x+1/2,y+1/2,z+1/2'
'-x+1/2,-y+1/2,z+1/2'
'-x+1/2,y+1/2,z+1/2'
'x+1/2,-y+1/2,z+1/2'
loop_
_atom_site_label
_atom_site_fract_x
_atom_site_fract_y
_atom_site_fract_z
Al1 0.000 0.000 0.000
Tl1 0.000 0.000 0.401
Tl2 0.000 0.500 0.200
Cu1 0.000 0.500 0.668
```

Volume   182.5 Å³ per cell
Mass density   9.1 g/cm3
ΔH_f (0 K)   0.244 eV/atom
Final energy   -23.2 eV per cell

Crystalline CdAsSe2F at its relaxed geometry, computed with PBE.

Cell and atoms, written as CIF:
```
data_CdAsSe2F
_space_group_name_H-M_alt 'P 4/m m m'
_space_group_IT_number 123
_space_group_name_Hall '-P 4 2'
_cell_length_a 5.234
_cell_length_b 5.234
_cell_length_c 3.974
_cell_angle_alpha 90.00
_cell_angle_beta 90.00
_cell_angle_gamma 90.00
loop_
_atom_site_label
_atom_site_fract_x
_atom_site_fract_y
_atom_site_fract_z
Cd1 0.000 0.000 0.000
As1 0.500 0.500 0.000
Se1 0.000 0.500 0.500
F1 0.500 0.500 0.500
```

Volume   108.9 Å³ per cell
Mass density   5.6 g/cm3
Formation energy from raw total energies   0.87 eV/f.u.
Final energy   -13.5 eV per cell

Crystalline Tb8Pm3Nd2 at its relaxed geometry, computed with PBE.

Cell and atoms, written as CIF:
```
data_Tb8Pm3Nd2
_space_group_name_H-M_alt 'C 1 2/m 1'
_space_group_IT_number 12
_cell_length_a 20.967
_cell_length_b 5.100
_cell_length_c 8.041
_cell_angle_alpha 90.00
_cell_angle_beta 94.37
_cell_angle_gamma 90.00
loop_
_space_group_symop_operation_xyz
'x,y,z'
'-x,-y,-z'
'-x,y,-z'
'x,-y,z'
'x+1/2,y+1/2,z'
'-x+1/2,-y+1/2,-z'
'-x+1/2,y+1/2,-z'
'x+1/2,-y+1/2,z'
loop_
_atom_site_label
_atom_site_fract_x
_atom_site_fract_y
_atom_site_fract_z
Tb1 0.077 0.000 0.114
Tb2 0.115 0.500 0.422
Tb3 0.154 0.000 0.733
Tb4 0.192 0.500 0.039
Pm1 0.000 0.000 0.500
Pm2 0.039 0.500 0.807
Nd1 0.231 0.000 0.345
```

Volume   857.4 Å³ per cell
Mass density   7.7 g/cm3
ΔH_f (0 K)   0.015 eV/atom
Final energy   -121.3 eV per cell

mass density of number 3 (Tb8Pm3Nd2)? 7.7 g/cm3